Tl4Re PBE relaxed; VASP energy = -18.61 eV per cell; formation energy = 0.66 eV per atom; offset from the most stable computed form = 195 meV/atom; M_tot = 0.000 μB/atom
1.0
-4.698 4.698 1.507
4.698 -4.698 1.507
4.698 4.698 -1.507
Tl Re
4 1
Cartesian
6.888 0.484 0.000
0.484 2.508 0.000
4.214 2.190 1.507
-2.190 4.214 1.507
0.000 0.000 1.507